Here is an optimized crystal structure of CaHfSe2Br from the Alexandria database. Energies are from PBE.

Properties
Spin magnetization in μB per cell: 0.914
Energy in eV per atom: -4.175
Formation energy without anion corrections in eV/atom: -0.056

abc: 5.401 5.401 5.127
angles: 90.00 90.00 90.00
Each line ends with the local moment (μB).
Sites, in units of the cell vectors:
Ca 0.000 0.000 0.000  0.00
Hf 0.500 0.500 0.500  0.78
Se 0.000 0.500 0.000  -0.09
Se 0.500 0.000 0.000  -0.09
Br 0.000 0.000 0.500  -0.01


Here is an optimized crystal structure of Tb6MnZn5 from the Alexandria database. Energies are from PBE.

Properties
Spin magnetization in μB per cell: 2.088
Energy in eV per atom: -3.852
Energy of formation in meV per atom: -242

abc: 5.047 7.159 8.748
angles: 114.15 106.68 90.00
Each line ends with the local moment (μB).
Sites, in units of the cell vectors:
Zn 0.667 0.167 0.334  -0.02
Zn 0.333 0.333 0.667  0.00
Zn 0.000 0.500 0.000  -0.02
Zn 0.667 0.667 0.333  0.00
Zn 0.333 0.833 0.666  -0.02
Mn 0.000 0.000 0.000  3.26
Tb 0.834 0.586 0.669  -0.15
Tb 0.834 0.083 0.669  -0.15
Tb 0.500 0.754 0.000  -0.19
Tb 0.500 0.246 0.000  -0.19
Tb 0.166 0.917 0.331  -0.15
Tb 0.166 0.414 0.331  -0.15


Here is an optimized crystal structure of RbAg3Cl from the Alexandria database. Energies are from PBE.

Properties
Spin magnetization in μB per cell: 0.577
Energy in eV per atom: -1.260
Formation energy without anion corrections in eV/atom: 1.014

abc: 6.076 6.076 6.076
angles: 90.00 90.00 90.00
Each line ends with the local moment (μB).
Sites, in units of the cell vectors:
Rb 0.000 0.000 0.000  0.02
Ag 0.000 0.500 0.000  0.03
Ag 0.000 0.000 0.500  0.05
Ag 0.500 0.000 0.000  0.09
Cl 0.500 0.500 0.500  0.04


Here is an optimized crystal structure of NdErInAg from the Alexandria database. Energies are from PBE.

Properties
Spin magnetization in μB per cell: 0.022
Energy in eV per atom: -4.105
Energy of formation in meV per atom: -375

abc: 5.320 5.320 5.320
angles: 60.00 60.00 60.00
Sites, in units of the cell vectors:
In 0.250 0.250 0.250
Nd 0.500 0.500 0.500
Ag 0.750 0.750 0.750
Er 0.000 0.000 0.000


Here is an optimized crystal structure of KLiErF5 from the Alexandria database. Energies are from PBE.

Properties
Spin magnetization in μB per cell: 0.322
Energy in eV per atom: -5.643
Formation energy without anion corrections in eV/atom: -3.527

abc: 6.169 6.169 8.193
angles: 103.53 103.53 107.20
Sites, in units of the cell vectors:
K 0.340 0.660 0.250
K 0.660 0.340 0.750
Li 0.685 0.315 0.250
Li 0.315 0.685 0.750
Er 0.000 0.000 0.500
Er 0.000 0.000 0.000
F 0.074 0.926 0.250
F 0.926 0.074 0.750
F 0.899 0.294 0.113
F 0.101 0.706 0.887
F 0.706 0.101 0.387
F 0.294 0.899 0.613
F 0.757 0.631 0.407
F 0.243 0.369 0.593
F 0.369 0.243 0.093
F 0.631 0.757 0.907


Here is an optimized crystal structure of YCu from the Alexandria database. Energies are from PBE.

Properties
Spin magnetization in μB per cell: 0.000
Energy in eV per atom: -5.213
Energy of formation in meV per atom: 68

abc: 3.831 3.831 7.629
angles: 90.00 90.00 120.00
Sites, in units of the cell vectors:
Cu 0.000 0.000 0.052
Cu 0.667 0.333 0.198
Y 0.000 0.000 0.438
Y 0.667 0.333 0.812


Here is an optimized crystal structure of TaCuHg2 from the Alexandria database. Energies are from PBE.

Properties
Spin magnetization in μB per cell: 0.000
Energy in eV per atom: -3.659
Energy of formation in meV per atom: 479

abc: 4.887 4.887 5.423
angles: 78.66 78.66 35.98
Sites, in units of the cell vectors:
Cu 0.750 0.750 0.750
Hg 0.008 0.008 0.989
Hg 0.492 0.492 0.511
Ta 0.250 0.250 0.250


Here is an optimized crystal structure of P2OsPb from the Alexandria database. Energies are from PBE.

Properties
Spin magnetization in μB per cell: 0.000
Energy in eV per atom: -6.337
Energy of formation in meV per atom: 103

abc: 3.914 3.914 7.024
angles: 85.91 85.91 46.26
Sites, in units of the cell vectors:
Os 0.250 0.250 0.250
P 0.965 0.965 0.085
P 0.535 0.535 0.415
Pb 0.750 0.750 0.750


Here is an optimized crystal structure of CoSb3 from the Alexandria database. Energies are from PBE.

Properties
Spin magnetization in μB per cell: 1.190
Energy in eV per atom: -4.312
Formation energy without anion corrections in eV/atom: 0.556

abc: 5.041 5.041 3.692
angles: 90.00 90.00 102.72
Each line ends with the local moment (μB).
Sites, in units of the cell vectors:
Co 0.000 0.000 0.000  1.33
Sb 0.000 0.500 0.500  -0.02
Sb 0.500 0.000 0.500  -0.02
Sb 0.500 0.500 0.000  0.00


Here is an optimized crystal structure of Ho6Tm2Cd from the Alexandria database. Energies are from PBE.

Properties
Spin magnetization in μB per cell: 0.000
Energy in eV per atom: -4.159
Energy of formation in meV per atom: -12

abc: 4.929 10.396 10.397
angles: 90.00 90.00 90.00
Sites, in units of the cell vectors:
Ho 0.000 0.000 0.167
Ho 0.000 0.667 0.500
Ho 0.000 0.664 0.836
Ho 0.500 0.164 0.664
Ho 0.500 0.167 0.000
Ho 0.500 0.500 0.333
Ho 0.000 0.000 0.833
Ho 0.000 0.333 0.500
Ho 0.000 0.336 0.164
Ho 0.500 0.836 0.336
Ho 0.500 0.833 0.000
Ho 0.500 0.500 0.667
Tm 0.000 0.335 0.835
Tm 0.500 0.835 0.665
Tm 0.500 0.165 0.335
Tm 0.000 0.665 0.165
Cd 0.500 0.500 0.000
Cd 0.000 0.000 0.500


Here is an optimized crystal structure of Sm2ScCd5 from the Alexandria database. Energies are from PBE.

Properties
Spin magnetization in μB per cell: 0.286
Energy in eV per atom: -2.816
Energy of formation in meV per atom: -272

abc: 5.063 5.063 8.415
angles: 107.51 107.51 90.00
Each line ends with the local moment (μB).
Sites, in units of the cell vectors:
Sm 0.740 0.740 0.481  0.09
Sm 0.260 0.260 0.519  0.09
Sc 0.000 0.000 0.000  -0.01
Cd 0.500 0.500 0.000  0.00
Cd 0.888 0.388 0.776  0.00
Cd 0.388 0.888 0.776  0.00
Cd 0.112 0.612 0.224  0.00
Cd 0.612 0.112 0.224  0.00


Here is an optimized crystal structure of La3PrDy2Se6 from the Alexandria database. Energies are from PBE.

Properties
Spin magnetization in μB per cell: 0.000
Energy in eV per atom: -6.035
Formation energy without anion corrections in eV/atom: -1.896

abc: 7.310 7.310 7.343
angles: 99.55 99.55 120.14
Sites, in units of the cell vectors:
La 0.162 0.838 0.500
La 0.838 0.162 0.500
La 0.500 0.500 0.500
Pr 0.000 0.000 0.000
Dy 0.333 0.667 0.000
Dy 0.667 0.333 0.000
Se 0.921 0.577 0.762
Se 0.734 0.734 0.233
Se 0.079 0.423 0.238
Se 0.577 0.921 0.762
Se 0.266 0.266 0.767
Se 0.423 0.079 0.238